The following is a DFT calculation (PBEsol) of a relaxed K2TcMo crystal.

## Properties
D(E_F) = 5.4 states/eV per cell
Magnetic moment = 7.151 μB per formula unit
Calculated total energy = -3.75 eV/atom
Energy of formation from the pure elements = 248.7 kJ/mol of atoms
Polymorph energy (0 for the lowest one) = 1.635 eV/atom

abc: 5.3716 5.3716 5.3716
angles: 60.00 60.00 60.00
Site moments in Bohr magnetons follow the coordinates.
Positions (direct):
K: 0.2500 0.2500 0.2500  0.05
K: 0.7500 0.7500 0.7500  0.05
Tc: 0.5000 0.5000 0.5000  2.54
Mo: 0.0000 0.0000 0.0000  3.39

The following is a DFT calculation (PBEsol) of a relaxed ScInFe3 crystal.

## Properties
D(E_F) = 6.1 states/eV per cell
Magnetic moment = 7.050 μB per formula unit
Calculated total energy = -5.99 eV/atom
Energy of formation from the pure elements = 126.0 kJ/mol of atoms

abc: 4.6703 4.6703 4.6703
angles: 90.00 90.00 90.00
Site moments in Bohr magnetons follow the coordinates.
Positions (direct):
Sc: 0.5000 0.5000 0.5000  -0.53
Fe: 0.0000 0.5000 0.0000  2.73
Fe: 0.0000 0.0000 0.5000  2.73
Fe: 0.5000 0.0000 0.0000  2.73
In: 0.0000 0.0000 0.0000  -0.13

The following is a DFT calculation (PBEsol) of a relaxed Na2TbMoPO8 crystal.

## Properties
D(E_F) = 0.0 states/eV per cell
Magnetic moment = 0.000 μB per formula unit
Calculated total energy = -7.70 eV/atom

abc: 6.9104 11.3404 11.3404
angles: 64.33 72.26 72.26
Positions (direct):
O: 0.3301 0.4226 0.4394
O: 0.5672 0.8599 0.1552
O: 0.6961 0.3980 0.1379
O: 0.3297 0.1500 0.6065
O: 0.1703 0.3935 0.8500
O: 0.5824 0.3448 0.6401
O: 0.7680 0.6379 0.8980
O: 0.1699 0.5606 0.5774
O: 0.9328 0.8448 0.1401
O: 0.9176 0.3599 0.6552
O: 0.0824 0.6401 0.3448
O: 0.9138 0.1065 0.6500
O: 0.6922 0.0774 0.0606
O: 0.3078 0.9226 0.9394
O: 0.2320 0.3621 0.1020
O: 0.0672 0.1552 0.8599
O: 0.8301 0.4394 0.4226
O: 0.5862 0.3500 0.8935
O: 0.4138 0.6500 0.1065
O: 0.6699 0.5774 0.5606
O: 0.0862 0.8935 0.3500
O: 0.8039 0.8621 0.6020
O: 0.7320 0.1020 0.3621
O: 0.4328 0.1401 0.8448
O: 0.8078 0.9394 0.9226
O: 0.6703 0.8500 0.3935
O: 0.1961 0.1379 0.3980
O: 0.4176 0.6552 0.3599
O: 0.2680 0.8980 0.6379
O: 0.8297 0.6065 0.1500
O: 0.1922 0.0606 0.0774
O: 0.3039 0.6020 0.8621
Na: 0.8364 0.6045 0.7043
Na: 0.8548 0.2043 0.1045
Na: 0.6452 0.8955 0.7957
Na: 0.1452 0.7957 0.8955
Na: 0.3548 0.1045 0.2043
Na: 0.1636 0.3955 0.2957
Na: 0.3364 0.7043 0.6045
Na: 0.6636 0.2957 0.3955
Tb: 0.7500 0.1794 0.8206
Tb: 0.7500 0.6794 0.3206
Tb: 0.2500 0.8206 0.1794
Tb: 0.2500 0.3206 0.6794
Mo: 0.1786 0.0714 0.5714
Mo: 0.6786 0.5714 0.0714
Mo: 0.8214 0.9286 0.4286
Mo: 0.3214 0.4286 0.9286
P: 0.7500 0.9321 0.0679
P: 0.7500 0.4321 0.5679
P: 0.2500 0.0679 0.9321
P: 0.2500 0.5679 0.4321

The following is a DFT calculation (PBEsol) of a relaxed AlCu3Pb crystal.

## Properties
D(E_F) = 1.4 states/eV per cell
Magnetic moment = 0.000 μB per formula unit
Calculated total energy = -3.17 eV/atom
Energy of formation from the pure elements = 100.7 kJ/mol of atoms

abc: 4.8575 4.8575 4.8575
angles: 90.00 90.00 90.00
Positions (direct):
Cu: 0.0000 0.5000 0.0000
Cu: 0.5000 0.0000 0.0000
Cu: 0.0000 0.0000 0.5000
Pb: 0.0000 0.0000 0.0000
Al: 0.5000 0.5000 0.5000

The following is a DFT calculation (PBEsol) of a relaxed La2CuSi crystal.

## Properties
D(E_F) = 3.9 states/eV per cell
Magnetic moment = 0.000 μB per formula unit
Calculated total energy = -5.65 eV/atom

abc: 4.1462 4.3275 5.7772
angles: 111.97 90.00 90.00
Positions (direct):
Si: 0.0000 0.3156 0.5059
La: 0.5000 0.7298 0.3342
La: 0.0000 0.0229 0.9208
Cu: 0.5000 0.4317 0.7390

The following is a DFT calculation (PBEsol) of a relaxed As2SeBr crystal.

## Properties
D(E_F) = 2.7 states/eV per cell
Magnetic moment = 0.000 μB per formula unit
Calculated total energy = -3.53 eV/atom
Polymorph energy (0 for the lowest one) = 0.130 eV/atom

abc: 3.3787 4.8457 4.8457
angles: 90.00 90.00 90.00
Positions (direct):
Se: 0.5000 0.0000 0.0000
As: 0.0000 0.5000 0.0000
As: 0.0000 0.0000 0.5000
Br: 0.5000 0.5000 0.5000

The following is a DFT calculation (PBEsol) of a relaxed CrOs5 crystal.

## Properties
D(E_F) = 4.4 states/eV per cell
Magnetic moment = 0.001 μB per formula unit
Calculated total energy = -11.89 eV/atom
Energy of formation from the pure elements = -0.5 kJ/mol of atoms

abc: 2.7098 5.0566 6.3437
angles: 103.11 90.00 105.54
Positions (direct):
Os: 0.3351 0.6702 0.6707
Os: 0.0557 0.1113 0.6142
Os: 0.7216 0.4432 0.9459
Os: 0.6656 0.3311 0.3303
Os: 0.3894 0.7788 0.2726
Cr: 0.9994 0.9987 0.9995

The following is a DFT calculation (PBEsol) of a relaxed KAsBr2F crystal.

## Properties
D(E_F) = 19.2 states/eV per cell
Magnetic moment = 4.011 μB per formula unit
Calculated total energy = -1.94 eV/atom

abc: 5.9897 5.9897 7.3096
angles: 90.00 90.00 90.00
Site moments in Bohr magnetons follow the coordinates.
Positions (direct):
Br: 0.5000 0.0000 0.0000  0.32
Br: 0.0000 0.5000 0.0000  0.32
As: 0.0000 0.0000 0.5000  1.14
K: 0.0000 0.0000 0.0000  0.01
F: 0.5000 0.5000 0.5000  0.47

The following is a DFT calculation (PBEsol) of a relaxed Ti2GaH crystal.

## Properties
D(E_F) = 3.1 states/eV per cell
Magnetic moment = 0.006 μB per formula unit
Calculated total energy = -5.79 eV/atom

abc: 4.2136 4.2136 4.2136
angles: 60.00 60.00 60.00
Positions (direct):
Ti: 0.2500 0.2500 0.2500
Ti: 0.7500 0.7500 0.7500
H: 0.0000 0.0000 0.0000
Ga: 0.5000 0.5000 0.5000

The following is a DFT calculation (PBEsol) of a relaxed Hg3SbMo crystal.

## Properties
D(E_F) = 1.9 states/eV per cell
Magnetic moment = 5.332 μB per formula unit
Calculated total energy = -2.26 eV/atom

abc: 5.4961 5.4961 5.4961
angles: 90.00 90.00 90.00
Site moments in Bohr magnetons follow the coordinates.
Positions (direct):
Hg: 0.5000 0.0000 0.0000  0.03
Hg: 0.0000 0.5000 0.0000  0.03
Hg: 0.0000 0.0000 0.5000  0.03
Sb: 0.0000 0.0000 0.0000  0.02
Mo: 0.5000 0.5000 0.5000  4.16

The following is a DFT calculation (PBEsol) of a relaxed Ni2HgRh crystal.

## Properties
D(E_F) = 5.2 states/eV per cell
Magnetic moment = 1.581 μB per formula unit
Calculated total energy = -4.97 eV/atom
Energy of formation from the pure elements = 27.6 kJ/mol of atoms

abc: 4.2663 4.2663 4.2663
angles: 60.00 60.00 60.00
Site moments in Bohr magnetons follow the coordinates.
Positions (direct):
Ni: 0.0000 0.0000 0.0000  0.72
Ni: 0.7500 0.7500 0.7500  0.46
Rh: 0.2500 0.2500 0.2500  0.47
Hg: 0.5000 0.5000 0.5000  -0.01

The following is a DFT calculation (PBEsol) of a relaxed HfTa3Pb crystal.

## Properties
D(E_F) = 6.0 states/eV per cell
Magnetic moment = 0.000 μB per formula unit
Calculated total energy = -8.27 eV/atom
Energy of formation from the pure elements = 208.4 kJ/mol of atoms

abc: 5.0126 5.0126 5.0126
angles: 90.00 90.00 90.00
Positions (direct):
Ta: 0.0000 0.5000 0.0000
Ta: 0.5000 0.0000 0.0000
Ta: 0.0000 0.0000 0.5000
Pb: 0.0000 0.0000 0.0000
Hf: 0.5000 0.5000 0.5000